VASP calculation (PBE) on TaSiIN2 after structural relaxation.

Properties
Volume: 95 Å³ per cell
Energy relative to the elements, uncorrected: 0.699 eV per atom
Space group: No. 123

Cell: 4.0764 4.0764 5.7433 Å, 90.00 90.00 90.00°
Fractional coordinates of all 5 atoms:
Ta 0.0000 0.0000 0.0000
Si 0.5000 0.5000 0.5000
I 0.0000 0.0000 0.5000
N 0.0000 0.5000 0.0000
N 0.5000 0.0000 0.0000